# 1
This record from Alexandria describes FeCu2TePb after structural relaxation. The functional is PBE.

Summary:
Its uncorrected formation energy is 1.210 eV per atom. The value obtained for the total magnetic moment is 3.6 μB/f.u. As for the symmetry: P4/mmm. Its uncorrected energy is -3.491 eV per atom.

Lattice parameters (Å, degrees): 4.8136 6.4584 4.8136 90.00 90.00 90.00
Fractional positions:
Pb 0.0000 0.0000 0.0000
Te 0.0000 0.5000 0.0000
Fe 0.5000 0.5000 0.5000
Cu 0.0000 0.0000 0.5000
Cu 0.5000 0.0000 0.0000



# 2
This record from Alexandria describes AcMgIn2Ag2 after structural relaxation. The functional is PBE.

Summary:
The energy relative to the elements comes out at -293 meV/atom. The value obtained for the total magnetic moment is 0.0 μB/f.u. As for the symmetry: P-3m1. Its uncorrected energy is -3.107 eV per atom.

Lattice parameters (Å, degrees): 4.7730 4.7730 7.7291 90.00 90.00 120.00
Fractional positions:
Ac 0.0000 0.0000 0.0000
Mg 0.0000 0.0000 0.5000
In 0.6667 0.3333 0.7212
In 0.3333 0.6667 0.2788
Ag 0.6667 0.3333 0.3268
Ag 0.3333 0.6667 0.6732



# 3
This record from Alexandria describes La2NdSnN after structural relaxation. The functional is PBE.

Summary:
Its uncorrected formation energy is -0.994 eV per atom. The value obtained for the total magnetic moment is 0.0 μB/f.u. As for the symmetry: P4/mmm. Its uncorrected energy is -6.384 eV per atom.

Lattice parameters (Å, degrees): 5.0710 5.0824 5.0824 90.00 90.00 90.00
Fractional positions:
La 0.0000 0.0000 0.5000
La 0.0000 0.5000 0.0000
Nd 0.5000 0.0000 0.0000
Sn 0.5000 0.5000 0.5000
N 0.0000 0.0000 0.0000